## Li3V4CuO12 (GGA-PBEsol)

Data for Li3V4CuO12 after structural relaxation.

Properties
* energy relative to the elements, uncorrected: -2.181 eV per atom
* space group: C2 (5)

Lattice parameters (Å, degrees): 6.593 6.593 5.831 106.17 106.17 78.78
Element x y z (fractional)
Li (0.000, 0.000, 0.000)
Li (0.444, 0.556, 0.500)
Li (0.799, 0.201, 0.500)
V (0.102, 0.474, 0.017)
V (0.338, 0.088, 0.483)
V (0.526, 0.898, 0.983)
V (0.912, 0.662, 0.517)
Cu (0.643, 0.357, 0.000)
O (0.040, 0.669, 0.833)
O (0.094, 0.202, 0.480)
O (0.107, 0.600, 0.333)
O (0.331, 0.960, 0.167)
O (0.351, 0.363, 0.032)
O (0.400, 0.893, 0.667)
O (0.501, 0.277, 0.591)
O (0.637, 0.649, 0.968)
O (0.716, 0.061, 0.078)
O (0.723, 0.499, 0.409)
O (0.798, 0.906, 0.520)
O (0.939, 0.284, 0.922)